Compound: Ca7Ag2Pt2
Source: the Alexandria database
Functional: PBE
Structure: relaxed

Properties
Crystal system: orthorhombic
Calculated density: 4.71 Mg/m³
ΔH_f (0 K): -0.5375 eV/atom
Raw total energy: -0.1260 hartree per atom
Energy above the most stable polymorph in this dataset: 0.0 meV per atom

a b c (Å): 4.137 9.444 9.444
angles (deg): 61.03 77.35 77.35
Fractional coordinates of all 11 atoms:
Ca: 0.186 0.709 0.918
Ca: 0.378 0.724 0.520
Ca: 0.622 0.480 0.276
Ca: 0.500 0.016 0.984
Ca: 0.144 0.121 0.590
Ca: 0.856 0.410 0.879
Ca: 0.814 0.082 0.291
Pt: 0.740 0.857 0.663
Pt: 0.260 0.337 0.143
Ag: 0.000 0.772 0.228
Ag: 0.500 0.344 0.656

=====

Compound: TaNbFe2Se
Source: the Alexandria database
Functional: PBE
Structure: relaxed

Properties
Crystal system: tetragonal
Uncorrected formation energy: 0.730 eV/atom
Calculated density: 8.95 Mg/m³
Raw total energy: -0.2843 hartree per atom

a b c (Å): 4.254 4.760 4.254
angles (deg): 90.00 90.00 90.00
Fractional coordinates of all 5 atoms:
Nb: 0.000 0.500 0.000
Fe: 0.500 0.000 0.000
Fe: 0.000 0.000 0.500
Ta: 0.500 0.500 0.500
Se: 0.000 0.000 0.000

=====

Compound: SrRe2W
Source: the Alexandria database
Functional: PBE
Structure: relaxed

Properties
Crystal system: monoclinic
Calculated density: 12.33 Mg/m³
ΔH_f (0 K): 0.8100 eV/atom
Raw total energy: -0.3334 hartree per atom
Energy above the most stable polymorph in this dataset: 82.1 meV per atom

a b c (Å): 5.089 5.089 5.992
angles (deg): 76.20 76.20 35.26
Fractional coordinates of all 4 atoms:
Re: 0.467 0.467 0.603
Re: 0.033 0.033 0.897
Sr: 0.250 0.250 0.250
W: 0.750 0.750 0.750

=====

Compound: TeIr2Au
Source: the Alexandria database
Functional: PBE
Structure: relaxed

Properties
Crystal system: tetragonal
Uncorrected formation energy: 0.509 eV/atom
Calculated density: 16.92 Mg/m³
Raw total energy: -0.2031 hartree per atom
Energy above the most stable polymorph in this dataset: 216.7 meV per atom

a b c (Å): 3.136 3.136 7.078
angles (deg): 90.00 90.00 90.00
Fractional coordinates of all 4 atoms:
Ir: 0.000 0.000 0.008
Ir: 0.000 0.000 0.492
Au: 0.500 0.500 0.750
Te: 0.500 0.500 0.250

=====

Compound: TlCoIr
Source: the Alexandria database
Functional: PBE
Structure: relaxed

Properties
Crystal system: hexagonal
Calculated density: 15.20 Mg/m³
ΔH_f (0 K): 0.5813 eV/atom
Raw total energy: -0.2032 hartree per atom
Energy above the most stable polymorph in this dataset: 108.1 meV per atom

a b c (Å): 4.318 4.318 3.084
angles (deg): 90.00 90.00 120.00
Fractional coordinates of all 3 atoms:
Tl: 0.667 0.333 0.667
Co: 0.000 0.000 0.167
Ir: 0.333 0.667 0.167

=====

Compound: SmSnPt
Source: the Alexandria database
Functional: PBE
Structure: relaxed

Properties
Crystal system: cubic
Calculated density: 10.06 Mg/m³
ΔH_f (0 K): -0.9783 eV/atom
Raw total energy: -0.2168 hartree per atom

a b c (Å): 4.768 4.768 4.768
angles (deg): 60.00 60.00 60.00
Fractional coordinates of all 3 atoms:
Sn: 0.500 0.500 0.500
Pt: 0.250 0.250 0.250
Sm: 0.000 0.000 0.000

=====

Compound: Al3WN
Source: the Alexandria database
Functional: PBE
Structure: relaxed

Properties
Crystal system: cubic
Uncorrected formation energy: 1.741 eV/atom
Calculated density: 3.81 Mg/m³
Raw total energy: -0.1750 hartree per atom
Energy above the most stable polymorph in this dataset: 1692.5 meV per atom

a b c (Å): 4.954 4.954 4.954
angles (deg): 90.00 90.00 90.00
Fractional coordinates of all 5 atoms:
Al: 0.000 0.500 0.000
Al: 0.000 0.000 0.500
Al: 0.500 0.000 0.000
W: 0.000 0.000 0.000
N: 0.500 0.500 0.500

=====

Compound: Sm2Er2Tm5
Source: the Alexandria database
Functional: PBE
Structure: relaxed

Properties
Crystal system: triclinic
Calculated density: 8.76 Mg/m³
ΔH_f (0 K): 0.0674 eV/atom
Raw total energy: -0.1646 hartree per atom
Energy above the most stable polymorph in this dataset: 0.0 meV per atom

a b c (Å): 3.507 10.324 11.906
angles (deg): 135.49 72.21 111.46
Fractional coordinates of all 9 atoms:
Er: 0.606 0.329 0.981
Er: 0.394 0.671 0.019
Sm: 0.951 0.899 0.683
Sm: 0.049 0.101 0.317
Tm: 0.000 0.000 0.000
Tm: 0.173 0.563 0.678
Tm: 0.661 0.782 0.357
Tm: 0.827 0.437 0.322
Tm: 0.339 0.218 0.643

=====

Compound: ZnFe2Rh
Source: the Alexandria database
Functional: PBE
Structure: relaxed

Properties
Crystal system: tetragonal
Calculated density: 7.96 Mg/m³
ΔH_f (0 K): 0.3859 eV/atom
Raw total energy: -0.2206 hartree per atom

a b c (Å): 6.821 6.821 5.437
angles (deg): 51.15 51.15 90.00
Fractional coordinates of all 8 atoms:
Fe: 0.116 0.625 0.250
Fe: 0.375 0.366 0.750
Fe: 0.634 0.125 0.250
Fe: 0.875 0.884 0.750
Zn: 0.500 0.500 0.000
Zn: 0.250 0.750 0.500
Rh: 0.000 0.000 0.000
Rh: 0.750 0.250 0.500

=====

Compound: MgAgPt2
Source: the Alexandria database
Functional: PBE
Structure: relaxed

Properties
Crystal system: orthorhombic
Calculated density: 13.27 Mg/m³
ΔH_f (0 K): -0.3847 eV/atom
Raw total energy: -0.1660 hartree per atom

a b c (Å): 4.597 2.989 4.756
angles (deg): 90.01 90.00 90.00
Fractional coordinates of all 4 atoms:
Pt: 0.000 0.125 0.942
Pt: 0.500 0.125 0.305
Ag: 0.000 0.625 0.440
Mg: 0.500 0.625 0.813

=====

Compound: TbCe2Pd
Source: the Alexandria database
Functional: PBE
Structure: relaxed

Properties
Crystal system: trigonal
Calculated density: 8.95 Mg/m³
ΔH_f (0 K): -0.0257 eV/atom
Raw total energy: -0.2002 hartree per atom
Energy above the most stable polymorph in this dataset: 207.2 meV per atom

a b c (Å): 5.226 5.226 5.238
angles (deg): 60.08 60.08 60.00
Fractional coordinates of all 4 atoms:
Ce: 0.750 0.750 0.749
Ce: 0.250 0.250 0.251
Tb: 0.000 0.000 0.000
Pd: 0.500 0.500 0.500

=====

Compound: CsNa2InHg4
Source: the Alexandria database
Functional: PBE
Structure: relaxed

Properties
Crystal system: trigonal
Calculated density: 6.90 Mg/m³
ΔH_f (0 K): -0.1962 eV/atom
Raw total energy: -0.0414 hartree per atom

a b c (Å): 5.170 5.170 11.785
angles (deg): 77.33 77.33 60.00
Fractional coordinates of all 8 atoms:
Hg: 0.404 0.404 0.788
Hg: 0.870 0.870 0.390
Hg: 0.596 0.596 0.212
Hg: 0.130 0.130 0.610
Na: 0.226 0.226 0.323
Na: 0.774 0.774 0.677
Cs: 0.000 0.000 0.000
In: 0.500 0.500 0.500

=====

Compound: Re7Tc3
Source: the Alexandria database
Functional: PBE
Structure: relaxed

Properties
Crystal system: monoclinic
Calculated density: 17.59 Mg/m³
ΔH_f (0 K): 0.1276 eV/atom
Raw total energy: -0.4298 hartree per atom

a b c (Å): 4.392 5.510 6.749
angles (deg): 78.20 108.99 90.00
Fractional coordinates of all 10 atoms:
Re: 0.790 0.854 0.579
Re: 0.400 0.796 0.800
Re: 0.600 0.204 0.200
Re: 0.210 0.146 0.421
Re: 0.600 0.698 0.200
Re: 0.400 0.302 0.800
Re: 0.000 0.500 0.000
Tc: 0.208 0.644 0.416
Tc: 0.000 0.000 0.000
Tc: 0.792 0.356 0.584

=====

Compound: Pr3SnPt8
Source: the Alexandria database
Functional: PBE
Structure: relaxed

Properties
Crystal system: trigonal
Calculated density: 14.67 Mg/m³
ΔH_f (0 K): -0.9133 eV/atom
Raw total energy: -0.2377 hartree per atom

a b c (Å): 5.536 5.536 9.519
angles (deg): 73.09 73.09 60.00
Fractional coordinates of all 12 atoms:
Pt: 0.439 0.439 0.180
Pt: 0.434 0.940 0.687
Pt: 0.689 0.689 0.932
Pt: 0.940 0.940 0.687
Pt: 0.940 0.434 0.687
Pt: 0.943 0.439 0.180
Pt: 0.190 0.190 0.430
Pt: 0.439 0.943 0.180
Pr: 0.991 0.991 0.027
Pr: 0.378 0.378 0.867
Pr: 0.507 0.507 0.479
Sn: 0.861 0.861 0.416

=====

Compound: HgSF2
Source: the Alexandria database
Functional: PBE
Structure: relaxed

Properties
Crystal system: cubic
Uncorrected formation energy: -0.227 eV/atom
Calculated density: 7.47 Mg/m³
Raw total energy: -0.0834 hartree per atom
Energy above the most stable polymorph in this dataset: 734.6 meV per atom

a b c (Å): 4.397 4.397 4.397
angles (deg): 60.00 60.00 60.00
Fractional coordinates of all 4 atoms:
S: 0.000 0.000 0.000
F: 0.750 0.750 0.750
F: 0.250 0.250 0.250
Hg: 0.500 0.500 0.500

=====

Compound: ZrAl2Cu
Source: the Alexandria database
Functional: PBE
Structure: relaxed

Properties
Crystal system: orthorhombic
Calculated density: 5.08 Mg/m³
ΔH_f (0 K): -0.2056 eV/atom
Raw total energy: -0.1925 hartree per atom

a b c (Å): 5.272 5.387 9.612
angles (deg): 90.00 90.00 90.00
Fractional coordinates of all 16 atoms:
Al: 0.883 0.023 0.453
Al: 0.634 0.500 0.500
Al: 0.134 0.000 0.000
Al: 0.383 0.477 0.953
Al: 0.883 0.523 0.047
Al: 0.634 0.000 0.000
Al: 0.383 0.977 0.547
Al: 0.134 0.500 0.500
Zr: 0.884 0.793 0.737
Zr: 0.384 0.707 0.237
Zr: 0.384 0.207 0.263
Zr: 0.884 0.293 0.763
Cu: 0.884 0.419 0.290
Cu: 0.384 0.581 0.710
Cu: 0.384 0.081 0.790
Cu: 0.884 0.919 0.210

=====

Compound: Pr5Sm8In
Source: the Alexandria database
Functional: PBE
Structure: relaxed

Properties
Crystal system: monoclinic
Calculated density: 6.86 Mg/m³
ΔH_f (0 K): 0.0871 eV/atom
Raw total energy: -0.1658 hartree per atom

a b c (Å): 9.015 8.909 9.015
angles (deg): 85.96 123.13 121.96
Fractional coordinates of all 14 atoms:
Sm: 0.999 0.057 0.574
Sm: 0.517 0.943 0.942
Sm: 0.351 0.313 0.423
Sm: 0.509 0.632 0.222
Sm: 0.008 0.430 0.327
Sm: 0.897 0.570 0.578
Sm: 0.111 0.687 0.039
Sm: 0.590 0.368 0.878
In: 0.282 0.500 0.782
Pr: 0.972 0.241 0.929
Pr: 0.385 0.174 0.113
Pr: 0.501 0.000 0.501
Pr: 0.939 0.826 0.211
Pr: 0.688 0.759 0.731

=====

Compound: Hf3CoS6
Source: the Alexandria database
Functional: PBE
Structure: relaxed

Properties
Crystal system: trigonal
Uncorrected formation energy: -1.341 eV/atom
Calculated density: 6.82 Mg/m³
Raw total energy: -0.2761 hartree per atom

a b c (Å): 6.801 6.801 6.801
angles (deg): 54.05 54.05 54.05
Fractional coordinates of all 10 atoms:
Co: 0.500 0.500 0.500
S: 0.584 0.252 0.903
S: 0.252 0.903 0.584
S: 0.416 0.748 0.097
S: 0.903 0.584 0.252
S: 0.748 0.097 0.416
S: 0.097 0.416 0.748
Hf: 0.000 0.000 0.000
Hf: 0.329 0.329 0.329
Hf: 0.671 0.671 0.671

=====

Compound: Sc2NiBr
Source: the Alexandria database
Functional: PBE
Structure: relaxed

Properties
Crystal system: tetragonal
Uncorrected formation energy: -0.248 eV/atom
Calculated density: 5.05 Mg/m³
Raw total energy: -0.1939 hartree per atom
Energy above the most stable polymorph in this dataset: 459.8 meV per atom

a b c (Å): 4.908 4.908 4.908
angles (deg): 125.78 125.78 80.26
Fractional coordinates of all 4 atoms:
Br: 0.250 0.750 0.500
Sc: 0.000 0.000 0.000
Sc: 0.500 0.500 0.000
Ni: 0.750 0.250 0.500

=====

Compound: Pm7Sm2Sc2
Source: the Alexandria database
Functional: PBE
Structure: relaxed

Properties
Crystal system: monoclinic
Calculated density: 6.46 Mg/m³
ΔH_f (0 K): 0.1483 eV/atom
Raw total energy: -0.1795 hartree per atom

a b c (Å): 6.106 7.986 7.986
angles (deg): 92.91 75.24 75.24
Fractional coordinates of all 11 atoms:
Pm: 0.000 0.000 0.000
Pm: 0.189 0.060 0.581
Pm: 0.797 0.420 0.420
Pm: 0.811 0.419 0.940
Pm: 0.203 0.580 0.580
Pm: 0.189 0.581 0.060
Pm: 0.811 0.940 0.419
Sc: 0.500 0.773 0.227
Sc: 0.500 0.227 0.773
Sm: 0.416 0.212 0.212
Sm: 0.584 0.788 0.788

=====

Compound: Ti2HgRh
Source: the Alexandria database
Functional: PBE
Structure: relaxed

Properties
Crystal system: tetragonal
Calculated density: 9.78 Mg/m³
ΔH_f (0 K): -0.3502 eV/atom
Raw total energy: -0.2282 hartree per atom

a b c (Å): 3.098 3.098 7.064
angles (deg): 90.00 90.00 90.00
Fractional coordinates of all 4 atoms:
Hg: 0.500 0.500 0.500
Rh: 0.500 0.500 0.000
Ti: 0.000 0.000 0.219
Ti: 0.000 0.000 0.781

=====

Compound: V2Cd2Rh
Source: the Alexandria database
Functional: PBE
Structure: relaxed

Properties
Crystal system: tetragonal
Calculated density: 8.15 Mg/m³
ΔH_f (0 K): 0.4050 eV/atom
Raw total energy: -0.1866 hartree per atom
Energy above the most stable polymorph in this dataset: 0.0 meV per atom

a b c (Å): 3.262 3.262 8.544
angles (deg): 79.00 79.00 90.00
Fractional coordinates of all 5 atoms:
V: 0.250 0.750 0.500
V: 0.750 0.250 0.500
Cd: 0.401 0.401 0.198
Cd: 0.599 0.599 0.802
Rh: 0.000 0.000 0.000

=====

Compound: TlCdTe
Source: the Alexandria database
Functional: PBE
Structure: relaxed

Properties
Crystal system: orthorhombic
Uncorrected formation energy: 0.031 eV/atom
Calculated density: 8.40 Mg/m³
Raw total energy: -0.0775 hartree per atom
Energy above the most stable polymorph in this dataset: 251.5 meV per atom

a b c (Å): 8.672 8.495 3.327
angles (deg): 81.84 75.84 22.32
Fractional coordinates of all 3 atoms:
Cd: 0.997 0.997 0.003
Tl: 0.663 0.663 0.337
Te: 0.340 0.340 0.660

=====

Compound: Tb4Pm5Pr2
Source: the Alexandria database
Functional: PBE
Structure: relaxed

Properties
Crystal system: monoclinic
Calculated density: 7.27 Mg/m³
ΔH_f (0 K): 0.1384 eV/atom
Raw total energy: -0.1681 hartree per atom
Energy above the most stable polymorph in this dataset: 7.4 meV per atom

a b c (Å): 3.494 8.900 12.265
angles (deg): 96.58 98.19 90.00
Fractional coordinates of all 11 atoms:
Tb: 0.677 0.472 0.355
Tb: 0.323 0.528 0.645
Tb: 0.954 0.637 0.908
Tb: 0.046 0.363 0.092
Pm: 0.140 0.121 0.281
Pm: 0.767 0.177 0.534
Pm: 0.233 0.823 0.466
Pm: 0.860 0.879 0.719
Pm: 0.500 0.000 0.000
Pr: 0.908 0.265 0.816
Pr: 0.092 0.735 0.184

=====

Compound: BaMgAg2
Source: the Alexandria database
Functional: PBE
Structure: relaxed

Properties
Crystal system: tetragonal
Calculated density: 5.71 Mg/m³
ΔH_f (0 K): 0.0053 eV/atom
Raw total energy: -0.0845 hartree per atom

a b c (Å): 5.561 5.561 5.561
angles (deg): 125.56 125.56 80.61
Fractional coordinates of all 4 atoms:
Ag: 0.000 0.000 0.000
Ag: 0.250 0.750 0.500
Mg: 0.750 0.250 0.500
Ba: 0.500 0.500 0.000

=====

Compound: Ho6P2PbSe3
Source: the Alexandria database
Functional: PBE
Structure: relaxed

Properties
Crystal system: monoclinic
Uncorrected formation energy: -1.513 eV/atom
Calculated density: 8.44 Mg/m³
Raw total energy: -0.2162 hartree per atom

a b c (Å): 4.061 8.309 9.183
angles (deg): 102.89 102.77 90.00
Fractional coordinates of all 12 atoms:
Ho: 0.993 0.735 0.985
Ho: 0.327 0.427 0.653
Ho: 0.672 0.107 0.344
Ho: 0.673 0.573 0.347
Ho: 0.328 0.893 0.656
Ho: 0.007 0.265 0.015
P: 0.832 0.662 0.663
P: 0.168 0.338 0.337
Pb: 0.500 0.000 0.000
Se: 0.165 0.832 0.329
Se: 0.835 0.168 0.671
Se: 0.500 0.500 0.000